[1]
# Y4HoSc4, relaxed, DFT GGA-PBE
# Symmetry: No. 139
# Formation energy from the elements, eV/f.u.: 0.5
data_Y4HoSc4
_space_group_name_H-M_alt 'P 1'
_space_group_IT_number 1
_cell_length_a 4.841
_cell_length_b 7.676
_cell_length_c 7.676
_cell_angle_alpha 84.29
_cell_angle_beta 71.62
_cell_angle_gamma 71.62
loop_
_space_group_symop_operation_xyz
'x,y,z'
loop_
_atom_site_label
_atom_site_fract_x
_atom_site_fract_y
_atom_site_fract_z
Y1 0.673 0.327 0.327
Y2 0.327 0.673 0.673
Y3 0.000 0.673 0.327
Y4 0.000 0.327 0.673
Ho1 0.000 0.000 0.000
Sc1 0.666 0.668 0.000
Sc2 0.334 0.332 0.000
Sc3 0.666 0.000 0.668
Sc4 0.334 0.000 0.332

[2]
# Y12H5Pd3, relaxed, DFT GGA-PBE
# Symmetry: No. 230
data_Y12H5Pd3
_space_group_name_H-M_alt 'P 1'
_space_group_IT_number 1
_cell_length_a 13.176
_cell_length_b 13.176
_cell_length_c 13.176
_cell_angle_alpha 109.47
_cell_angle_beta 109.47
_cell_angle_gamma 109.47
loop_
_space_group_symop_operation_xyz
'x,y,z'
loop_
_atom_site_label
_atom_site_fract_x
_atom_site_fract_y
_atom_site_fract_z
Pd1 0.750 0.375 0.125
Pd2 0.875 0.750 0.125
Pd3 0.375 0.750 0.625
Pd4 0.250 0.125 0.375
Pd5 0.875 0.125 0.250
Pd6 0.375 0.625 0.250
Pd7 0.625 0.375 0.750
Pd8 0.125 0.875 0.750
Pd9 0.750 0.875 0.625
Pd10 0.625 0.250 0.375
Pd11 0.125 0.250 0.875
Pd12 0.250 0.625 0.875
H1 0.125 0.375 0.250
H2 0.000 0.500 0.000
H3 0.000 0.000 0.000
H4 0.375 0.250 0.125
H5 0.500 0.000 0.500
H6 0.500 0.500 0.000
H7 0.125 0.750 0.375
H8 0.750 0.125 0.875
H9 0.750 0.625 0.375
H10 0.375 0.125 0.750
H11 0.625 0.875 0.250
H12 0.500 0.500 0.500
H13 0.500 0.000 0.000
H14 0.000 0.000 0.500
H15 0.250 0.375 0.625
H16 0.250 0.875 0.125
H17 0.000 0.500 0.500
H18 0.875 0.250 0.625
H19 0.625 0.750 0.875
H20 0.875 0.625 0.750
Y1 0.713 0.116 0.022
Y2 0.309 0.522 0.405
Y3 0.978 0.384 0.287
Y4 0.522 0.213 0.116
Y5 0.597 0.713 0.691
Y6 0.978 0.595 0.191
Y7 0.309 0.787 0.403
Y8 0.095 0.903 0.116
Y9 0.595 0.978 0.691
Y10 0.713 0.597 0.191
Y11 0.787 0.478 0.384
Y12 0.809 0.905 0.022
Y13 0.116 0.713 0.522
Y14 0.384 0.405 0.097
Y15 0.097 0.905 0.384
Y16 0.403 0.116 0.595
Y17 0.097 0.191 0.213
Y18 0.478 0.691 0.095
Y19 0.809 0.903 0.287
Y20 0.116 0.403 0.095
Y21 0.384 0.978 0.787
Y22 0.595 0.616 0.403
Y23 0.905 0.809 0.522
Y24 0.787 0.309 0.903
Y25 0.405 0.384 0.597
Y26 0.095 0.191 0.478
Y27 0.213 0.691 0.097
Y28 0.191 0.097 0.713
Y29 0.616 0.022 0.213
Y30 0.884 0.597 0.905
Y31 0.522 0.309 0.905
Y32 0.597 0.884 0.405
Y33 0.903 0.809 0.787
Y34 0.903 0.095 0.616
Y35 0.884 0.287 0.478
Y36 0.191 0.095 0.978
Y37 0.616 0.595 0.903
Y38 0.405 0.022 0.309
Y39 0.287 0.403 0.809
Y40 0.213 0.522 0.616
Y41 0.905 0.097 0.884
Y42 0.691 0.213 0.597
Y43 0.478 0.787 0.884
Y44 0.022 0.405 0.809
Y45 0.403 0.287 0.309
Y46 0.022 0.616 0.713
Y47 0.691 0.478 0.595
Y48 0.287 0.884 0.978

[3]
# Ir8OsRh4, relaxed, DFT GGA-PBE
# Symmetry: No. 221
# Formation energy from the elements, eV/f.u.: 8.9
data_Ir8OsRh4
_space_group_name_H-M_alt 'P 1'
_space_group_IT_number 1
_cell_length_a 5.974
_cell_length_b 5.974
_cell_length_c 5.974
_cell_angle_alpha 90.00
_cell_angle_beta 90.00
_cell_angle_gamma 90.00
loop_
_space_group_symop_operation_xyz
'x,y,z'
loop_
_atom_site_label
_atom_site_fract_x
_atom_site_fract_y
_atom_site_fract_z
Ir1 0.240 0.760 0.240
Ir2 0.760 0.760 0.240
Ir3 0.760 0.240 0.760
Ir4 0.240 0.760 0.760
Ir5 0.760 0.760 0.760
Ir6 0.240 0.240 0.240
Ir7 0.760 0.240 0.240
Ir8 0.240 0.240 0.760
Os1 0.500 0.500 0.500
Rh1 0.500 0.000 0.500
Rh2 0.000 0.500 0.500
Rh3 0.500 0.500 0.000
Rh4 0.000 0.000 0.000

[4]
# NaGaHgGe, relaxed, DFT GGA-PBE
# Symmetry: No. 216
# Formation energy from the elements, eV/f.u.: 0.1
data_NaGaHgGe
_space_group_name_H-M_alt 'P 1'
_space_group_IT_number 1
_cell_length_a 4.956
_cell_length_b 4.956
_cell_length_c 4.956
_cell_angle_alpha 60.00
_cell_angle_beta 60.00
_cell_angle_gamma 60.00
loop_
_space_group_symop_operation_xyz
'x,y,z'
loop_
_atom_site_label
_atom_site_fract_x
_atom_site_fract_y
_atom_site_fract_z
Na1 0.750 0.750 0.750
Ge1 0.250 0.250 0.250
Hg1 0.000 0.000 0.000
Ga1 0.500 0.500 0.500

[5]
# Pm3Dy3Pt2, relaxed, DFT GGA-PBE
# Symmetry: No. 63
# Formation energy from the elements, eV/f.u.: -4.7
data_Pm3Dy3Pt2
_space_group_name_H-M_alt 'P 1'
_space_group_IT_number 1
_cell_length_a 3.987
_cell_length_b 6.780
_cell_length_c 17.626
_cell_angle_alpha 90.00
_cell_angle_beta 90.00
_cell_angle_gamma 107.10
loop_
_space_group_symop_operation_xyz
'x,y,z'
loop_
_atom_site_label
_atom_site_fract_x
_atom_site_fract_y
_atom_site_fract_z
Pm1 0.952 0.904 0.396
Pm2 0.048 0.096 0.896
Pm3 0.952 0.904 0.104
Pm4 0.048 0.096 0.604
Pm5 0.660 0.320 0.250
Pm6 0.340 0.680 0.750
Dy1 0.656 0.312 0.458
Dy2 0.344 0.688 0.958
Dy3 0.656 0.312 0.042
Dy4 0.344 0.688 0.542
Dy5 0.389 0.777 0.250
Dy6 0.611 0.223 0.750
Pt1 0.743 0.486 0.877
Pt2 0.257 0.514 0.377
Pt3 0.743 0.486 0.623
Pt4 0.257 0.514 0.123

[6]
# MnReCl2, relaxed, DFT GGA-PBE
# Symmetry: No. 10
# Energy relative to the elements, uncorrected, eV per atom: 0.5628
data_MnReCl2
_space_group_name_H-M_alt 'P 1'
_space_group_IT_number 1
_cell_length_a 4.086
_cell_length_b 2.928
_cell_length_c 5.707
_cell_angle_alpha 100.78
_cell_angle_beta 90.00
_cell_angle_gamma 90.00
loop_
_space_group_symop_operation_xyz
'x,y,z'
loop_
_atom_site_label
_atom_site_fract_x
_atom_site_fract_y
_atom_site_fract_z
Re1 0.500 0.750 0.750
Mn1 0.500 0.250 0.250
Cl1 0.000 0.834 0.996
Cl2 0.000 0.666 0.504

Number 1: total moment 0.0 μB/cell, energy -55.22 eV/cell. Number 2: total moment 0.0 μB/cell, energy -473.34 eV/cell. Number 3: total moment 0.0 μB/cell, energy -102.59 eV/cell. Number 4: total moment 0.0 μB/cell, energy -9.18 eV/cell. Number 5: total moment 0.0 μB/cell, energy -89.60 eV/cell. Number 6: total moment 4.4 μB/cell, energy -23.06 eV/cell.